! ScGeOF2 PBE optimized geometry; values from VASP
&SYSTEM
  ibrav = 0, nat = 5, ntyp = 4
/
ATOMIC_SPECIES
Sc 44.96 Sc.upf
F 19.00 F.upf
Ge 72.64 Ge.upf
O 16.00 O.upf
ATOMIC_POSITIONS angstrom
Sc 0.0000 0.0000 0.0000
F -1.6003 1.2350 -0.5346
F 0.2253 -0.5729 -1.9982
Ge -2.6709 -0.8879 -2.2345
O -1.2959 -1.5500 0.2983
CELL_PARAMETERS angstrom
-3.2005 2.4701 -1.0691
0.4507 -1.1459 -3.9964
-2.5918 -3.1001 0.5966
! Symmetry: P4/mmm (123)
! Energy above the most stable polymorph in this dataset (eV per atom): 0.000
! Magnetic moment (μB/f.u.): 0.00
! Uncorrected formation energy (kJ per mole of atoms): -224.7

! ScGeO2F PBE optimized geometry; values from VASP
&SYSTEM
  ibrav = 0, nat = 5, ntyp = 4
/
ATOMIC_SPECIES
Sc 44.96 Sc.upf
Ge 72.64 Ge.upf
O 16.00 O.upf
F 19.00 F.upf
ATOMIC_POSITIONS angstrom
Sc -0.6693 2.0384 2.7189
Ge 0.0000 0.0000 0.0000
O -1.4789 -0.2785 1.2859
O -0.4603 1.9219 -0.1130
F 1.2699 0.3951 1.5460
CELL_PARAMETERS angstrom
-0.9206 3.8438 -0.2261
-2.9578 -0.5571 2.5719
2.5398 0.7901 3.0920
! Symmetry: P4/mmm (123)
! Magnetic moment (μB/f.u.): 0.00
! Uncorrected formation energy (kJ per mole of atoms): -143.1

! ScGeO2F PBE optimized geometry; values from VASP
&SYSTEM
  ibrav = 0, nat = 5, ntyp = 4
/
ATOMIC_SPECIES
Ge 72.64 Ge.upf
O 16.00 O.upf
F 19.00 F.upf
Sc 44.96 Sc.upf
ATOMIC_POSITIONS angstrom
Ge 2.0632 2.0632 1.9867
O 2.0632 0.0000 0.0000
O 0.0000 2.0632 0.0000
F 0.0000 0.0000 1.9867
Sc 0.0000 0.0000 0.0000
CELL_PARAMETERS angstrom
4.1264 0.0000 0.0000
0.0000 4.1264 0.0000
0.0000 0.0000 3.9734
! Symmetry: P4/mmm (123)
! Magnetic moment (μB/f.u.): 0.00
! Uncorrected formation energy (kJ per mole of atoms): -210.1

! ScGeOF2 PBE optimized geometry; values from VASP
&SYSTEM
  ibrav = 0, nat = 5, ntyp = 4
/
ATOMIC_SPECIES
Ge 72.64 Ge.upf
Sc 44.96 Sc.upf
F 19.00 F.upf
O 16.00 O.upf
ATOMIC_POSITIONS angstrom
Ge 0.0000 0.0000 0.0000
Sc 0.7683 -2.0123 -2.9592
F -0.8116 0.2909 -1.9664
F 1.9495 -0.2984 -0.8487
O -0.3696 -2.0047 -0.1440
CELL_PARAMETERS angstrom
-1.6231 0.5818 -3.9328
3.8990 -0.5969 -1.6975
-0.7392 -4.0095 -0.2881
! Symmetry: P4/mmm (123)
! Energy above the most stable polymorph in this dataset (eV per atom): 0.860
! Magnetic moment (μB/f.u.): 1.21
! Uncorrected formation energy (kJ per mole of atoms): -141.7

The highest magnetic moment belongs to which entry? number 4